Record 1
First-principles (PBE-GGA) data for a geometry-optimized ErPuNiOs structure, as listed in Alexandria.

The calculation puts the energy relative to the elements at -64 kJ/mol of formula units. As for the density of states at the Fermi level: 8.39 states/eV/f.u. For the calculated total energy, the calculation gives -9.14 eV per atom.

The space group is F-43m (No. 216) and the conventional cell measures 6.738, 6.738 and 6.738 Å, with angles of 90.00, 90.00 and 90.00 degrees. The asymmetric unit holds Er at (0.000, 0.000, 0.000), Pu at (0.000, 0.000, 0.500), Ni at (0.250, 0.250, 0.750) and Os at (0.250, 0.250, 0.250).

Record 2
First-principles (PBE-GGA) data for a geometry-optimized AgSnPbSe3 structure, as listed in Alexandria.

As for the density of states at the Fermi level: 1.58 states/eV/f.u. For the calculated total energy, the calculation gives -3.81 eV per atom. As for the energy relative to the elements, uncorrected: -179 kJ/mol of formula units.

The space group is P2_1/m (No. 11) and the conventional cell measures 8.860, 4.032 and 9.259 Å, with angles of 90.00, 99.21 and 90.00 degrees. The asymmetric unit holds Ag at (0.115, 0.250, 0.043), Sn at (0.371, 0.750, 0.327), Pb at (0.222, 0.750, 0.766), Se at (0.033, 0.750, 0.236), Se at (0.316, 0.250, 0.550) and Se at (0.414, 0.250, 0.130).

Record 3
First-principles (PBE-GGA) data for a geometry-optimized SrPrEr2 structure, as listed in Alexandria.

The energy relative to the lowest polymorph listed for this composition comes out at 0.0 meV per atom. The calculation puts the energy relative to the elements at 51 kJ/mol of formula units. As for the density of states at the Fermi level: 5.86 states/eV/f.u. For the calculated total energy, the calculation gives -3.77 eV per atom.

The space group is R3m (No. 160, hexagonal axes) and the conventional cell measures 3.6946, 3.6946 and 36.4574 Å, with angles of 90.00, 90.00 and 120.00 degrees. The asymmetric unit holds Sr at (0.0000, 0.0000, 0.0000), Pr at (0.0000, 0.0000, 0.1657), Er at (0.0000, 0.0000, 0.5777) and Er at (0.0000, 0.0000, 0.7548).

Record 4
First-principles (PBE-GGA) data for a geometry-optimized Bi2PdAuO6 structure, as listed in Alexandria.

As for the density of states at the Fermi level: 1.61 states/eV/f.u. For the calculated total energy, the calculation gives -5.28 eV per atom. As for the energy relative to the elements, uncorrected: -660 kJ/mol of formula units.

The space group is P2_1/c (No. 14) and the conventional cell measures 5.502, 5.709 and 10.736 Å, with angles of 90.00, 119.84 and 90.00 degrees. The asymmetric unit holds Bi at (0.207, 0.044, 0.213), Pd at (0.500, 0.000, 0.000), Au at (0.000, 0.000, 0.500), O at (0.165, 0.175, 0.995), O at (0.196, 0.717, 0.910) and O at (0.417, 0.101, 0.801).

Record 5
First-principles (PBE-GGA) data for a geometry-optimized Rb2PuHgO4 structure, as listed in Alexandria.

As for the density of states at the Fermi level: 2.19 states/eV/f.u. For the calculated total energy, the calculation gives -6.46 eV per atom. As for the energy relative to the elements, uncorrected: -1474 kJ/mol of formula units.

The space group is P2/m (No. 10) and the conventional cell measures 7.091, 3.497 and 7.177 Å, with angles of 90.00, 90.33 and 90.00 degrees. The asymmetric unit holds Rb at (0.000, 0.000, 0.000), Rb at (0.500, 0.500, 0.500), Pu at (0.000, 0.000, 0.500), Hg at (0.500, 0.500, 0.000), O at (0.110, 0.500, 0.658) and O at (0.218, 0.000, 0.349).

Record 6
First-principles (PBE-GGA) data for a geometry-optimized Li2ZnCr structure, as listed in Alexandria.

The energy relative to the lowest polymorph listed for this composition comes out at 40.7 meV per atom. The calculation puts the energy relative to the elements at 90 kJ/mol of formula units. As for the density of states at the Fermi level: 2.25 states/eV/f.u. For the calculated total energy, the calculation gives -3.45 eV per atom.

The space group is P2/m (No. 10) and the conventional cell measures 2.857, 4.704 and 4.695 Å, with angles of 90.00, 94.14 and 90.00 degrees. The asymmetric unit holds Li at (0.238, 0.000, 0.253), Zn at (0.000, 0.500, 0.500) and Cr at (0.500, 0.500, 0.000).